The following is a GGA-PBE calculation of a geometry-optimized ScGa5Co structure, from the Alexandria database.

The structure in CIF format:
```
data_ScGa5Co
_chemical_formula_sum 'Sc1 Ga5 Co1'
_cell_length_a 4.1387
_cell_length_b 4.1387
_cell_length_c 6.6308
_cell_angle_alpha 90.00
_cell_angle_beta 90.00
_cell_angle_gamma 90.00
_symmetry_space_group_name_H-M 'P 4/m m m'
_symmetry_Int_Tables_number 123
_symmetry_space_group_name_Hall '-P 4 2'
loop_
_atom_site_label
_atom_site_fract_x
_atom_site_fract_y
_atom_site_fract_z
Sc1 0.0000 0.0000 0.0000
Ga1 0.0000 0.5000 0.3025
Ga2 0.5000 0.5000 0.0000
Co1 0.0000 0.0000 0.5000
```

Uncorrected energy in eV for the cell shown: -31.71
M_tot in μB/f.u.: 0.00